Model w:
A geometry-optimized Sm2SO structure. Source: Alexandria, functional GGA-PBE.

Lattice parameters (Å, degrees): 3.7198 3.7198 18.9575 90.00 90.00 120.00
Last column: nearest neighbours and their distance in Å.
Space group R-3m (No. 166, hexagonal axes)
Inequivalent atoms, fractional coordinates:
Sm 0.0000 0.0000 0.2366 x6  3 O 2.52, 3 S 2.82
S 0.0000 0.0000 0.0000 x3  6 Sm 2.82
O 0.0000 0.0000 0.5000 x3  6 Sm 2.52

Model x:
A geometry-optimized Sm2SO structure. Source: Alexandria, functional GGA-PBE.

Lattice parameters (Å, degrees): 3.6617 3.6617 19.9501 90.00 90.00 120.00
Last column: nearest neighbours and their distance in Å.
Space group R3m (No. 160, hexagonal axes)
Inequivalent atoms, fractional coordinates:
Sm 0.0000 0.0000 0.0000 x3  3 O 2.70, 3 S 2.73
Sm 0.0000 0.0000 0.1603 x3  3 O 2.60, 3 S 2.73
S 0.0000 0.0000 0.5799 x3  6 Sm 2.73
O 0.0000 0.0000 0.7508 x3  6 Sm 2.60-2.70

Model y:
A geometry-optimized Sm2SO structure. Source: Alexandria, functional GGA-PBE.

Lattice parameters (Å, degrees): 4.0678 4.0678 22.1998 90.00 90.00 120.00
Last column: nearest neighbours and their distance in Å.
Space group R-3m (No. 166, hexagonal axes)
Inequivalent atoms, fractional coordinates:
Sm 0.0000 0.0000 0.0940 x6  1 O 2.09
S 0.0000 0.0000 0.5000 x3  6 Sm 2.85
O 0.0000 0.0000 0.0000 x3  2 Sm 2.09

Which is the most stable structure? model w is the most stable.

Model w:
A geometry-optimized Sm2S2O structure. Source: Alexandria, functional GGA-PBE.

Lattice parameters (Å, degrees): 8.4730 7.1047 7.0152 90.00 98.82 90.00
Last column: nearest neighbours and their distance in Å.
Space group P2_1/c (No. 14)
Inequivalent atoms, fractional coordinates:
Sm 0.0790 0.1385 0.3167 x4  3 O 2.32-2.35
Sm 0.3622 0.5551 0.2492 x4  1 O 2.32
S 0.1778 0.6405 0.5689 x4  4 Sm 2.85-2.99
S 0.4230 0.2241 0.4708 x4  5 Sm 2.82-3.01
O 0.1174 0.0877 0.6492 x4  4 Sm 2.32-2.35

Model x:
A geometry-optimized Sm2S2O structure. Source: Alexandria, functional GGA-PBE.

Lattice parameters (Å, degrees): 3.9276 15.0443 7.1557 90.00 90.00 90.00
Last column: nearest neighbours and their distance in Å.
Space group Cmc2_1 (No. 36)
Inequivalent atoms, fractional coordinates:
Sm 0.0000 0.0519 0.0000 x4  2 O 2.46-2.50
Sm 0.0000 0.3348 0.8974 x4  2 O 2.29
S 0.0000 0.2985 0.5171 x4  5 Sm 2.78-2.99
S 0.0000 0.4533 0.1943 x4  5 Sm 2.77-2.94, 2 O 3.05
O 0.0000 0.0937 0.3320 x4  4 Sm 2.29-2.50

Which is the most stable structure? model w is the most stable.

Model w:
A geometry-optimized Sn2S3O12 structure. Source: Alexandria, functional GGA-PBE.

Lattice parameters (Å, degrees): 9.0529 9.0162 14.8690 90.00 124.24 90.00
Last column: nearest neighbours and their distance in Å.
Space group P2_1/c (No. 14)
Inequivalent atoms, fractional coordinates:
Sn 0.1323 0.0414 0.3774 x4  5 O 2.39-2.55
Sn 0.3510 0.0232 0.1099 x4  6 O 2.07-2.09
S 0.0249 0.7342 0.4954 x4  4 O 1.46-1.52
S 0.2666 0.0931 0.8545 x4  4 O 1.46-1.52
S 0.4864 0.6388 0.8520 x4  4 O 1.45-1.54
O 0.0022 0.1345 0.5692 x4  1 S 1.46
O 0.0229 0.7346 0.0917 x4  1 S 1.47
O 0.1155 0.1189 0.0767 x4  1 S 1.52
O 0.1625 0.2273 0.8014 x4  1 S 1.46
O 0.1668 0.5440 0.3065 x4  1 S 1.46
O 0.2024 0.6664 0.5283 x4  1 S 1.52
O 0.3327 0.0772 0.5780 x4  1 S 1.47
O 0.3418 0.1016 0.9752 x4  1 S 1.52
O 0.3739 0.5433 0.7505 x4  1 S 1.53
O 0.3900 0.6486 0.9035 x4  1 S 1.45
O 0.4278 0.1027 0.8473 x4  1 S 1.52
O 0.4963 0.7098 0.3077 x4  1 S 1.54

Model x:
A geometry-optimized Sn2S3O12 structure. Source: Alexandria, functional GGA-PBE.

Lattice parameters (Å, degrees): 12.5633 9.1683 9.1340 90.00 90.00 90.00
Last column: nearest neighbours and their distance in Å.
Space group Pbcn (No. 60)
Inequivalent atoms, fractional coordinates:
Sn 0.1197 0.2491 0.0409 x8  6 O 2.21-2.30
S 0.0000 0.4485 0.7500 x4  4 O 1.49-1.50
S 0.1517 0.0981 0.3928 x8  4 O 1.48-1.50
O 0.0370 0.1273 0.4140 x8  1 S 1.48
O 0.0645 0.4615 0.1475 x8  1 S 1.49
O 0.0769 0.3536 0.8307 x8  1 S 1.50
O 0.1739 0.0622 0.9038 x8  1 S 1.50
O 0.1878 0.1431 0.2435 x8  1 S 1.49
O 0.2124 0.1785 0.5086 x8  1 S 1.50

Which is the most stable structure? model w is the most stable.